Computed, not measured: Sr4PmPb5 after structural relaxation at the PBE level of DFT.

Unit cell a=4.099 b=4.099 c=20.566 alpha=90.00 beta=90.00 gamma=90.00
Element x y z (fractional)
1 Sr 0.000 0.000 0.189
2 Sr 0.000 0.000 0.396
3 Sr 0.000 0.000 0.604
4 Sr 0.000 0.000 0.811
5 Pm 0.000 0.000 0.000
6 Pb 0.500 0.500 0.083
7 Pb 0.500 0.500 0.290
8 Pb 0.500 0.500 0.500
9 Pb 0.500 0.500 0.710
10 Pb 0.500 0.500 0.917

Theoretical density   7.36 g/cm3
Space group   P4/mmm, No. 123
V   345 Å³/cell
Energy relative to the elements   -0.5017 eV/atom